Compound: PmNd12Dy3
Source: Alexandria
Functional: PBE
Structure: relaxed

Summary:
Symmetry: P4/mmm (123)

Cell: 5.168 5.168 20.625 Å, 90.00 90.00 90.00°
Atoms (fractional coordinates):
Nd  0.500  0.000  0.625
Nd  0.000  0.500  0.375
Nd  0.000  0.500  0.874
Nd  0.000  0.500  0.625
Nd  0.500  0.500  0.749
Nd  0.500  0.000  0.375
Nd  0.500  0.500  0.000
Nd  0.500  0.000  0.874
Nd  0.500  0.000  0.126
Nd  0.500  0.500  0.251
Nd  0.500  0.500  0.500
Nd  0.000  0.500  0.126
Dy  0.000  0.000  0.500
Dy  0.000  0.000  0.251
Dy  0.000  0.000  0.749
Pm  0.000  0.000  0.000

---

Compound: CsNdPdCl6
Source: Alexandria
Functional: PBE
Structure: relaxed

Summary:
Symmetry: P312 (149)
E_form (uncorrected) in eV/atom: -1.57

Cell: 6.897 6.897 7.880 Å, 90.00 90.00 60.00°
Atoms (fractional coordinates):
Cs  0.000  0.000  0.000
Cl  0.382  0.979  0.694
Cl  0.382  0.639  0.306
Cl  0.979  0.639  0.694
Cl  0.639  0.979  0.306
Cl  0.639  0.382  0.694
Cl  0.979  0.382  0.306
Nd  0.333  0.333  0.500
Pd  0.667  0.667  0.500

---

Compound: La8Tb2Nd
Source: Alexandria
Functional: PBE
Structure: relaxed

Summary:
Symmetry: C2/m (12)
E above lowest polymorph in eV per formula unit: 0.00

Cell: 6.854 6.985 9.134 Å, 112.48 100.36 90.00°
Atoms (fractional coordinates):
Tb  0.677  0.757  0.515
Tb  0.323  0.243  0.485
Nd  0.000  0.000  0.000
La  0.927  0.595  0.190
La  0.189  0.802  0.604
La  0.412  0.354  0.172
La  0.588  0.646  0.828
La  0.811  0.198  0.396
La  0.588  0.182  0.828
La  0.412  0.818  0.172
La  0.073  0.405  0.810

---

Compound: CoNiRh2
Source: Alexandria
Functional: PBE
Structure: relaxed

Summary:
Symmetry: R-3m (166)
E above lowest polymorph in eV per formula unit: 0.11

Cell: 8.556 8.556 8.556 Å, 17.95 17.95 17.95°
Atoms (fractional coordinates):
Rh  0.501  0.501  0.501
Rh  0.999  0.999  0.999
Ni  0.750  0.750  0.750
Co  0.250  0.250  0.250

---

Compound: LiCe2Te3
Source: Alexandria
Functional: PBE
Structure: relaxed

Summary:
Symmetry: Immm (71)
E_form (uncorrected) in eV/atom: -1.27

Cell: 4.416 6.334 7.731 Å, 114.18 106.60 90.00°
Atoms (fractional coordinates):
Te  0.000  0.000  0.000
Te  0.657  0.657  0.314
Te  0.343  0.343  0.686
Ce  0.669  0.169  0.339
Ce  0.331  0.831  0.661
Li  0.000  0.500  0.000

---

Compound: Tb3PrY6Er2
Source: Alexandria
Functional: PBE
Structure: relaxed

Summary:
Symmetry: C2/m (12)

Cell: 6.180 6.180 11.830 Å, 94.97 94.97 119.95°
Atoms (fractional coordinates):
Tb  0.833  0.167  0.500
Tb  0.167  0.833  0.500
Tb  0.500  0.500  0.500
Er  0.333  0.667  0.000
Er  0.667  0.333  0.000
Pr  0.000  0.000  0.000
Y  0.750  0.750  0.251
Y  0.582  0.916  0.749
Y  0.250  0.250  0.749
Y  0.916  0.582  0.749
Y  0.084  0.418  0.251
Y  0.418  0.084  0.251

---

Compound: Li6Mg2In2Hg
Source: Alexandria
Functional: PBE
Structure: relaxed

Summary:
Symmetry: C2/m (12)

Cell: 5.338 7.567 5.925 Å, 102.72 90.00 110.65°
Atoms (fractional coordinates):
Li  0.682  0.840  0.092
Li  0.158  0.840  0.092
Li  0.726  0.452  0.781
Li  0.842  0.160  0.908
Li  0.274  0.548  0.219
Li  0.318  0.160  0.908
In  0.297  0.595  0.722
In  0.703  0.405  0.278
Hg  0.500  0.000  0.500
Mg  0.096  0.191  0.413
Mg  0.904  0.809  0.587

---

Compound: TbPuPtAu
Source: Alexandria
Functional: PBE
Structure: relaxed

Summary:
Symmetry: Amm2 (38)
E above lowest polymorph in eV per formula unit: 0.00

Cell: 3.842 4.473 5.829 Å, 90.00 109.24 90.00°
Atoms (fractional coordinates):
Tb  0.141  0.000  0.283
Pt  0.407  0.000  0.815
Au  0.587  0.500  0.174
Pu  0.864  0.500  0.728

---

Compound: LiAc4Ho3Se8
Source: Alexandria
Functional: PBE
Structure: relaxed

Summary:
Symmetry: R-3m (166)
E_form (uncorrected) in eV/atom: -1.76

Cell: 8.391 8.639 8.391 Å, 119.06 120.00 90.00°
Atoms (fractional coordinates):
Se  0.763  0.284  0.527
Se  0.260  0.281  0.521
Se  0.743  0.716  0.979
Se  0.763  0.284  0.021
Se  0.237  0.716  0.979
Se  0.237  0.716  0.473
Se  0.740  0.719  0.479
Se  0.257  0.284  0.021
Ac  0.000  0.000  0.500
Ac  0.500  0.000  0.000
Ac  0.000  0.000  0.000
Ac  0.500  0.000  0.500
Ho  0.500  0.500  0.500
Ho  0.000  0.500  0.500
Ho  0.500  0.500  0.000
Li  0.000  0.500  0.000

---

Compound: K2PuMgSe4
Source: Alexandria
Functional: PBE
Structure: relaxed

Summary:
Symmetry: P2/m (10)
E_form (uncorrected) in eV/atom: -1.28

Cell: 4.202 7.119 8.006 Å, 107.84 90.00 90.00°
Atoms (fractional coordinates):
K  0.500  0.000  0.500
K  0.000  0.500  0.500
Pu  0.500  0.500  0.000
Se  0.500  0.230  0.194
Se  0.000  0.267  0.797
Se  0.500  0.770  0.806
Se  0.000  0.733  0.203
Mg  0.000  0.000  0.000

---

Compound: ReMoSe2
Source: Alexandria
Functional: PBE
Structure: relaxed

Summary:
Symmetry: R3m (160)
E_form (uncorrected) in eV/atom: -0.06
E above lowest polymorph in eV per formula unit: 0.08

Cell: 9.895 9.895 9.895 Å, 17.93 17.93 17.93°
Atoms (fractional coordinates):
Se  0.224  0.224  0.224
Se  0.026  0.026  0.026
Re  0.752  0.752  0.752
Mo  0.497  0.497  0.497

---

Compound: Ac2AgAsO5
Source: Alexandria
Functional: PBE
Structure: relaxed

Summary:
Symmetry: P4/mbm (127)
E_form (uncorrected) in eV/atom: -1.88

Cell: 5.997 7.235 7.235 Å, 90.00 90.00 90.00°
Atoms (fractional coordinates):
Ag  0.000  0.500  0.500
Ag  0.000  0.000  0.000
O  0.244  0.632  0.868
O  0.756  0.868  0.368
O  0.244  0.868  0.368
O  0.756  0.632  0.868
O  0.500  0.000  0.000
O  0.756  0.368  0.132
O  0.244  0.368  0.132
O  0.500  0.500  0.500
O  0.756  0.132  0.632
O  0.244  0.132  0.632
As  0.000  0.500  0.000
As  0.000  0.000  0.500
Ac  0.500  0.680  0.180
Ac  0.500  0.820  0.680
Ac  0.500  0.180  0.320
Ac  0.500  0.320  0.820

---

Compound: Nd12TlZn6
Source: Alexandria
Functional: PBE
Structure: relaxed

Summary:
Symmetry: Im-3 (204)

Cell: 8.972 8.972 8.972 Å, 109.47 109.47 109.47°
Atoms (fractional coordinates):
Tl  0.000  0.000  0.000
Nd  0.194  0.288  0.482
Nd  0.094  0.806  0.288
Nd  0.518  0.806  0.712
Nd  0.712  0.906  0.194
Nd  0.712  0.518  0.806
Nd  0.194  0.712  0.906
Nd  0.806  0.288  0.094
Nd  0.906  0.194  0.712
Nd  0.482  0.194  0.288
Nd  0.806  0.712  0.518
Nd  0.288  0.094  0.806
Nd  0.288  0.482  0.194
Zn  0.621  0.500  0.121
Zn  0.500  0.879  0.379
Zn  0.121  0.621  0.500
Zn  0.500  0.121  0.621
Zn  0.879  0.379  0.500
Zn  0.379  0.500  0.879

---

Compound: Sm3Cd4Ga2
Source: Alexandria
Functional: PBE
Structure: relaxed

Summary:
Symmetry: C2/m (12)

Cell: 4.835 6.033 9.110 Å, 113.99 90.00 113.62°
Atoms (fractional coordinates):
Cd  0.294  0.588  0.957
Cd  0.928  0.857  0.599
Cd  0.072  0.143  0.401
Cd  0.706  0.412  0.043
Ga  0.393  0.786  0.726
Ga  0.607  0.214  0.274
Sm  0.000  0.000  0.000
Sm  0.334  0.668  0.332
Sm  0.666  0.332  0.668

---

Compound: NaSrIr3
Source: Alexandria
Functional: PBE
Structure: relaxed

Summary:
Symmetry: Pm-3m (221)
E above lowest polymorph in eV per formula unit: 0.00

Cell: 4.715 4.715 4.715 Å, 90.00 90.00 90.00°
Atoms (fractional coordinates):
Ir  0.000  0.000  0.500
Ir  0.500  0.000  0.000
Ir  0.000  0.500  0.000
Na  0.000  0.000  0.000
Sr  0.500  0.500  0.500

---

Compound: Co5Cu4
Source: Alexandria
Functional: PBE
Structure: relaxed

Summary:
Symmetry: I4/mmm (139)
E above lowest polymorph in eV per formula unit: 0.00

Cell: 5.650 5.650 5.650 Å, 95.74 95.74 143.13°
Atoms (fractional coordinates):
Co  0.338  0.662  0.000
Co  0.662  0.338  0.000
Co  0.000  0.000  0.000
Co  0.338  0.338  0.675
Co  0.662  0.662  0.325
Cu  0.000  0.669  0.669
Cu  0.000  0.331  0.331
Cu  0.331  0.000  0.331
Cu  0.669  0.000  0.669

---

Compound: CaIn4Ge4O14
Source: Alexandria
Functional: PBE
Structure: relaxed

Summary:
Symmetry: F-43m (216)
E_form (uncorrected) in eV/atom: -1.35
E above lowest polymorph in eV per formula unit: 2.63

Cell: 7.371 7.371 7.371 Å, 60.00 60.00 60.00°
Atoms (fractional coordinates):
O  0.963  0.537  0.537
O  0.304  0.696  0.696
O  0.696  0.696  0.304
O  0.963  0.963  0.537
O  0.250  0.250  0.250
O  0.537  0.963  0.537
O  0.696  0.304  0.696
O  0.304  0.696  0.304
O  0.696  0.304  0.304
O  0.304  0.304  0.696
O  0.537  0.537  0.963
O  0.537  0.963  0.963
O  0.963  0.537  0.963
O  0.000  0.000  0.000
In  0.127  0.620  0.127
In  0.620  0.127  0.127
In  0.127  0.127  0.620
In  0.127  0.127  0.127
Ge  0.609  0.609  0.174
Ge  0.609  0.174  0.609
Ge  0.174  0.609  0.609
Ge  0.609  0.609  0.609
Ca  0.750  0.750  0.750

---

Compound: Rb2SiH5
Source: Alexandria
Functional: PBE
Structure: relaxed

Summary:
Symmetry: I4mm (107)

Cell: 5.805 5.805 5.769 Å, 120.21 120.21 89.99°
Atoms (fractional coordinates):
H  0.800  0.800  0.000
H  0.200  0.200  0.000
H  0.800  0.200  0.000
H  0.200  0.800  0.000
H  0.802  0.802  0.605
Si  0.994  0.994  0.988
Rb  0.240  0.740  0.481
Rb  0.740  0.240  0.481

---

Compound: In2HgSb
Source: Alexandria
Functional: PBE
Structure: relaxed

Summary:
Symmetry: Cm (8)
E_form (uncorrected) in eV/atom: 0.04
E above lowest polymorph in eV per formula unit: 0.16

Cell: 5.810 5.810 5.415 Å, 74.93 74.93 38.27°
Atoms (fractional coordinates):
In  0.759  0.759  0.729
In  0.995  0.995  0.026
Hg  0.246  0.246  0.229
Sb  0.500  0.500  0.516

---

Compound: Cd2SiCl
Source: Alexandria
Functional: PBE
Structure: relaxed

Summary:
Symmetry: P4mm (99)
E_form (uncorrected) in eV/atom: -0.08
E above lowest polymorph in eV per formula unit: 0.01

Cell: 3.785 3.785 7.209 Å, 90.00 90.00 90.00°
Atoms (fractional coordinates):
Cd  0.500  0.500  0.276
Cd  0.000  0.000  0.854
Si  0.500  0.500  0.920
Cl  0.000  0.000  0.449

---

Number 1: VASP energy -4.722 eV/atom. Number 2: VASP energy -3.999 eV/atom. Number 3: VASP energy -4.726 eV/atom. Number 4: VASP energy -6.814 eV/atom. Number 5: VASP energy -5.135 eV/atom. Number 6: VASP energy -5.529 eV/atom. Number 7: VASP energy -2.008 eV/atom. Number 8: VASP energy -7.891 eV/atom. Number 9: VASP energy -5.511 eV/atom. Number 10: VASP energy -5.285 eV/atom. Number 11: VASP energy -7.620 eV/atom. Number 12: VASP energy -6.382 eV/atom. Number 13: VASP energy -3.694 eV/atom. Number 14: VASP energy -3.074 eV/atom. Number 15: VASP energy -4.343 eV/atom. Number 16: VASP energy -5.642 eV/atom. Number 17: VASP energy -5.733 eV/atom. Number 18: VASP energy -3.091 eV/atom. Number 19: VASP energy -2.433 eV/atom. Number 20: VASP energy -2.350 eV/atom.